(1)
Computed, not measured: a geometry-optimized CaTb2Nd6Sm3 structure at the PBE-GGA level of DFT.

Geometry as POSCAR:
```
CaTb2Nd6Sm3
1.0
6.360 -0.002 0.014
-3.180 5.508 0.014
-1.081 -1.871 11.851
Ca Tb Nd Sm
1 2 6 3
Direct
0.000 0.000 0.000
0.333 0.667 0.000
0.667 0.333 0.000
0.915 0.575 0.749
0.744 0.744 0.251
0.085 0.425 0.251
0.575 0.915 0.749
0.256 0.256 0.749
0.425 0.085 0.251
0.166 0.834 0.500
0.834 0.166 0.500
0.500 0.500 0.500
```

energy of formation: 32 meV/atom


(2)
Computed, not measured: a geometry-optimized Pr2Y3Er6Th structure at the PBE-GGA level of DFT.

Geometry as POSCAR:
```
Pr2Y3Er6Th
1.0
6.190 0.002 0.010
-3.092 5.363 0.010
-1.049 -1.817 11.577
Pr Y Er Th
2 3 6 1
Direct
0.334 0.666 0.000
0.666 0.334 0.000
0.167 0.833 0.500
0.833 0.167 0.500
0.500 0.500 0.500
0.916 0.586 0.749
0.755 0.755 0.251
0.084 0.414 0.251
0.586 0.916 0.749
0.245 0.245 0.749
0.414 0.084 0.251
0.000 0.000 0.000
```

energy of formation: 35 meV/atom


(3)
Computed, not measured: a geometry-optimized Sr2CaW structure at the PBE-GGA level of DFT.

Geometry as POSCAR:
```
Sr2CaW
1.0
-2.226 -2.801 -1.391
3.112 -2.156 -0.639
-0.810 -3.850 9.047
Sr Ca W
2 1 1
Direct
0.000 0.000 0.981
0.500 0.500 0.320
0.500 0.500 0.682
0.000 0.000 0.517
```

energy of formation: 907 meV/atom